Entry 1:
A plane-wave DFT calculation with PBE was carried out for crystalline BeTcPd at its relaxed geometry.

Cell: 2.5577 3.8708 4.1897 Å, 90.00 90.00 90.00°
Closest atoms and distances in Å follow each position.
Space group Pmmm (No. 47)
Asymmetric unit:
1 Be 0.0000 0.0000 0.0000 [1 per cell]  4 Pd 2.32, 4 Tc 2.45, 2 Be 2.56
2 Tc 0.5000 0.0000 0.5000 [1 per cell]  4 Be 2.45, 2 Tc 2.56
3 Pd 0.5000 0.5000 0.0000 [1 per cell]  4 Be 2.32, 2 Pd 2.56

Crystal system: orthorhombic
Energy above the most stable polymorph in this dataset (kcal/mol of atoms): 10.177


Entry 2:
A plane-wave DFT calculation with PBE was carried out for crystalline BeTl2TcPd at its relaxed geometry.

Cell: 4.7272 4.7272 4.1681 Å, 90.00 90.00 90.00°
Closest atoms and distances in Å follow each position.
Space group P4/mmm (No. 123)
Asymmetric unit:
1 Be 0.0000 0.0000 0.0000 [1 per cell]  2 Tc 2.08
2 Tl 0.0000 0.5000 0.0000 [2 per cell]  2 Be 2.36
3 Tc 0.0000 0.0000 0.5000 [1 per cell]  2 Be 2.08
4 Pd 0.5000 0.5000 0.5000 [1 per cell]  8 Tl 3.15, 4 Tc 3.34

Crystal system: tetragonal
Final energy (eV/cell): -20.3


Entry 3:
A plane-wave DFT calculation with PBE was carried out for crystalline BeZnTcPd2 at its relaxed geometry.

Cell: 4.1590 4.1590 4.2934 Å, 90.00 90.00 90.00°
Closest atoms and distances in Å follow each position.
Space group P4/mmm (No. 123)
Asymmetric unit:
1 Be 0.0000 0.0000 0.0000 [1 per cell]  4 Pd 2.08, 2 Tc 2.15
2 Zn 0.5000 0.5000 0.5000 [1 per cell]  4 Tc 2.94, 8 Pd 2.99
3 Tc 0.0000 0.0000 0.5000 [1 per cell]  2 Be 2.15
4 Pd 0.0000 0.5000 0.0000 [2 per cell]  2 Be 2.08

Crystal system: tetragonal
Final energy (eV/cell): -24.3


no.,spin magnetization (μB per atom),D(E_F) (states/eV/atom)
1,0.12,1.12
2,0.18,0.51
3,0.27,1.02